Computed, not measured: a relaxed CaNd2Tl3 crystal at the PBE level of DFT.

a b c (Å): 3.7806 3.7806 12.4171
angles (deg): 90.00 90.00 90.00
With the nearest neighbours (Å) after each atom.
Sites, in units of the cell vectors:
Ca 0.5000 0.5000 0.5000  8 Tl 3.34
Nd 0.5000 0.5000 0.8289  8 Tl 3.39-3.41, 4 Nd 3.78
Nd 0.5000 0.5000 0.1711  8 Tl 3.39-3.41, 4 Nd 3.78
Tl 0.0000 0.0000 0.3388  4 Ca 3.34, 4 Nd 3.39
Tl 0.0000 0.0000 0.0000  8 Nd 3.41, 4 Tl 3.78
Tl 0.0000 0.0000 0.6612  4 Ca 3.34, 4 Nd 3.39

Computed properties:
- DOS(E_F) (states/eV/atom) = 0.878
- SG = No. 123
- magnetic moment (μB/atom) = 0.000
- calculated formation energy (eV per atom) = -0.402